DFT (GGA-PBE) results for a geometry-optimized YZr2Ag structure.

a = 3.316 Å, b = 5.129 Å, c = 5.504 Å
α = 90.00°, β = 90.00°, γ = 90.00°
Element x y z (fractional)
1 Y 0.000 0.000 0.000
2 Zr 0.000 0.500 0.500
3 Zr 0.500 0.000 0.500
4 Ag 0.500 0.500 0.000

Electronic total energy ... -26.2 eV per cell
Crystal system ... orthorhombic
E above lowest polymorph ... 135.6 meV per atom

=====

DFT (GGA-PBE) results for a geometry-optimized YZrAg structure.

a = 6.849 Å, b = 3.392 Å, c = 12.349 Å
α = 90.00°, β = 90.00°, γ = 90.00°
Element x y z (fractional)
1 Y 0.134 0.250 0.095
2 Y 0.366 0.750 0.595
3 Y 0.634 0.250 0.405
4 Y 0.866 0.750 0.905
5 Zr 0.113 0.250 0.413
6 Zr 0.387 0.750 0.913
7 Zr 0.613 0.250 0.087
8 Zr 0.887 0.750 0.587
9 Ag 0.129 0.250 0.757
10 Ag 0.371 0.750 0.257
11 Ag 0.629 0.250 0.743
12 Ag 0.871 0.750 0.243

Electronic total energy ... -72.5 eV per cell
Crystal system ... orthorhombic
E above lowest polymorph ... 61.0 meV per atom

=====

DFT (GGA-PBE) results for a geometry-optimized YZrAg structure.

a = 8.272 Å, b = 8.272 Å, c = 5.147 Å
α = 90.00°, β = 90.00°, γ = 155.97°
Element x y z (fractional)
1 Y 0.090 0.910 0.750
2 Y 0.910 0.090 0.250
3 Zr 0.229 0.771 0.250
4 Zr 0.771 0.229 0.750
5 Ag 0.424 0.576 0.750
6 Ag 0.576 0.424 0.250

Electronic total energy ... -36.6 eV per cell
Crystal system ... orthorhombic
E above lowest polymorph ... 0.0 meV per atom

=====

DFT (GGA-PBE) results for a geometry-optimized YZr2Ag structure.

a = 5.661 Å, b = 5.661 Å, c = 3.175 Å
α = 90.00°, β = 90.00°, γ = 113.30°
Element x y z (fractional)
1 Y 0.000 0.000 0.000
2 Zr 0.000 0.500 0.500
3 Zr 0.500 0.000 0.500
4 Ag 0.500 0.500 0.000

Electronic total energy ... -25.7 eV per cell
Crystal system ... orthorhombic
E above lowest polymorph ... 247.4 meV per atom